# BePb

BePb after structural relaxation (PBE-GGA, the Alexandria database).

Properties
- Space group: Pmma, No. 51
- Magnetization: 0.00 μB/cell
- Offset from the most stable computed form: 0.43 eV/f.u.
- ΔE_f: 99.9 kJ/mol of formula units

a = 3.8368 Å, b = 3.7780 Å, c = 6.2623 Å
α = 90.00°, β = 90.00°, γ = 90.00°
Closest atoms and distances in Å follow each position.
Positions (direct):
Be  0.2500  0.0000  0.0716  2 Be 2.12
Be  0.7500  0.0000  0.9284  2 Be 2.12
Pb  0.2500  0.5000  0.7543  6 Be 2.74-2.90
Pb  0.7500  0.5000  0.2457  6 Be 2.74-2.90

***

# RbPtBr4

RbPtBr4 after structural relaxation (PBE-GGA, the Alexandria database).

Properties
- Space group: C2/c, No. 15
- Magnetization: 0.00 μB/cell
- Uncorrected energy: -2.9801 eV per atom

a = 6.0699 Å, b = 6.0699 Å, c = 14.7400 Å
α = 101.27°, β = 101.27°, γ = 59.81°
Closest atoms and distances in Å follow each position.
Positions (direct):
Rb  0.0000  0.5000  0.0000  8 Br 3.64-3.76
Rb  0.5000  0.0000  0.5000  8 Br 3.64-3.76
Pt  0.2486  0.7514  0.7500  4 Br 2.42-2.47
Pt  0.7514  0.2486  0.2500  4 Br 2.42-2.47
Br  0.0180  0.5214  0.7486  1 Pt 2.42
Br  0.1953  0.6970  0.5782  1 Pt 2.47
Br  0.3030  0.8047  0.9218  1 Pt 2.47
Br  0.4786  0.9820  0.7514  1 Pt 2.42
Br  0.5214  0.0180  0.2486  1 Pt 2.42
Br  0.6970  0.1953  0.0782  1 Pt 2.47
Br  0.8047  0.3030  0.4218  1 Pt 2.47
Br  0.9820  0.4786  0.2514  1 Pt 2.42

***

# Ca2TlP2

Ca2TlP2 after structural relaxation (PBE-GGA, the Alexandria database).

Properties
- Space group: P4/mbm, No. 127
- Magnetization: 0.00 μB/cell
- Offset from the most stable computed form: 0.00 eV/f.u.
- ΔE_f: -308.2 kJ/mol of formula units

a = 8.4547 Å, b = 8.4547 Å, c = 3.3243 Å
α = 90.00°, β = 90.00°, γ = 90.00°
Closest atoms and distances in Å follow each position.
Positions (direct):
Ca  0.1419  0.3581  0.0000  6 P 2.92-3.03
Ca  0.3581  0.8581  0.0000  6 P 2.92-3.03
Ca  0.6419  0.1419  0.0000  6 P 2.92-3.03
Ca  0.8581  0.6419  0.0000  6 P 2.92-3.03
Tl  0.0000  0.0000  0.5000  4 P 3.19, 2 Tl 3.32
Tl  0.5000  0.5000  0.5000  4 P 3.19, 2 Tl 3.32
P  0.1576  0.6576  0.5000  6 Ca 2.92-3.03, 2 Tl 3.19
P  0.3424  0.1576  0.5000  6 Ca 2.92-3.03, 2 Tl 3.19
P  0.6576  0.8424  0.5000  6 Ca 2.92-3.03, 2 Tl 3.19
P  0.8424  0.3424  0.5000  6 Ca 2.92-3.03, 2 Tl 3.19

***

# ScAl6Fe3

ScAl6Fe3 after structural relaxation (PBE-GGA, the Alexandria database).

Properties
- Space group: Cm, No. 8
- Magnetization: 1.13 μB/cell
- ΔE_f: -229.1 kJ/mol of formula units

a = 6.8463 Å, b = 6.8463 Å, c = 5.4182 Å
α = 100.72°, β = 100.72°, γ = 34.62°
Closest atoms and distances in Å follow each position.
Positions (direct):
Sc  0.0000  0.0000  0.0000  4 Fe 2.66-2.89, 8 Al 2.71-2.94
Al  0.0347  0.0347  0.5106  3 Fe 2.46-2.53, 1 Sc 2.71
Al  0.2129  0.2129  0.9715  3 Fe 2.54-2.69, 4 Al 2.68-2.85, 1 Sc 2.82
Al  0.4024  0.4024  0.6760  3 Fe 2.46-2.51, 2 Al 2.65
Al  0.6229  0.6229  0.2659  5 Fe 2.50-2.77, 1 Al 2.66
Al  0.7771  0.7771  0.7197  3 Fe 2.39-2.55, 3 Al 2.62-2.65
Al  0.8266  0.8266  0.2743  4 Fe 2.46-2.72, 2 Al 2.62-2.66
Fe  0.2207  0.2207  0.4440  9 Al 2.46-2.72
Fe  0.4263  0.4263  0.2282  4 Al 2.46-2.54, 2 Sc 2.66
Fe  0.5968  0.5968  0.7456  4 Al 2.39-2.50

***

# LiPAu3

LiPAu3 after structural relaxation (PBE-GGA, the Alexandria database).

Properties
- Space group: Pm-3m, No. 221
- Magnetization: 0.00 μB/cell
- Offset from the most stable computed form: 0.00 eV/f.u.
- ΔE_f: -7.9 kJ/mol of formula units

a = 4.7725 Å, b = 4.7725 Å, c = 4.7725 Å
α = 90.00°, β = 90.00°, γ = 90.00°
Closest atoms and distances in Å follow each position.
Positions (direct):
Li  0.0000  0.0000  0.0000  12 Au 3.37
P  0.5000  0.5000  0.5000  6 Au 2.39
Au  0.0000  0.5000  0.5000  2 P 2.39
Au  0.5000  0.0000  0.5000  2 P 2.39
Au  0.5000  0.5000  0.0000  2 P 2.39

***

# PrDy4ErTm2

PrDy4ErTm2 after structural relaxation (PBE-GGA, the Alexandria database).

Properties
- Space group: C2/c, No. 15
- Magnetization: 4.54 μB/cell
- ΔE_f: 337.3 kJ/mol of formula units

a = 9.4633 Å, b = 9.4633 Å, c = 6.7702 Å
α = 110.96°, β = 110.96°, γ = 88.78°
Closest atoms and distances in Å follow each position.
Positions (direct):
Pr  0.0000  0.0000  0.0000  6 Dy 3.37-3.42, 2 Pr 3.39
Pr  0.0000  0.0000  0.5000  6 Dy 3.37-3.42, 2 Pr 3.39
Dy  0.2527  0.2541  0.5047  3 Tm 3.30-3.35, 1 Er 3.32, 2 Dy 3.39, 2 Pr 3.41-3.42
Dy  0.2541  0.2527  0.0047  3 Tm 3.30-3.35, 1 Er 3.32, 2 Dy 3.39, 2 Pr 3.41-3.42
Dy  0.2544  0.7458  0.9998  3 Tm 3.25-3.38, 1 Pr 3.37, 2 Er 3.38, 2 Dy 3.38-3.39
Dy  0.2542  0.7456  0.5002  3 Tm 3.25-3.38, 1 Pr 3.37, 2 Er 3.38, 2 Dy 3.38-3.39
Dy  0.7456  0.2542  0.0002  3 Tm 3.25-3.38, 1 Pr 3.37, 2 Er 3.38, 2 Dy 3.38-3.39
Dy  0.7458  0.2544  0.4998  3 Tm 3.25-3.38, 1 Pr 3.37, 2 Er 3.38, 2 Dy 3.38-3.39
Dy  0.7459  0.7473  0.9953  3 Tm 3.30-3.35, 1 Er 3.32, 2 Dy 3.39, 2 Pr 3.41-3.42
Dy  0.7473  0.7459  0.4953  3 Tm 3.30-3.35, 1 Er 3.32, 2 Dy 3.39, 2 Pr 3.41-3.42
Er  0.0000  0.5000  0.0000  6 Dy 3.32-3.38, 2 Tm 3.39
Er  0.5000  0.0000  0.5000  6 Dy 3.32-3.38, 2 Tm 3.39
Tm  0.0000  0.5000  0.5000  6 Dy 3.30-3.38, 2 Er 3.39
Tm  0.5000  0.0000  0.0000  6 Dy 3.30-3.38, 2 Er 3.39
Tm  0.5000  0.5000  0.0000  6 Dy 3.25-3.35, 2 Tm 3.39
Tm  0.5000  0.5000  0.5000  6 Dy 3.25-3.35, 2 Tm 3.39

***

What did the second record say?
# RbPtBr4

RbPtBr4 after structural relaxation (PBE-GGA, the Alexandria database).

Properties
- Space group: C2/c, No. 15
- Magnetization: 0.00 μB/cell
- Uncorrected energy: -2.9801 eV per atom

a = 6.0699 Å, b = 6.0699 Å, c = 14.7400 Å
α = 101.27°, β = 101.27°, γ = 59.81°
Closest atoms and distances in Å follow each position.
Positions (direct):
Rb  0.0000  0.5000  0.0000  8 Br 3.64-3.76
Rb  0.5000  0.0000  0.5000  8 Br 3.64-3.76
Pt  0.2486  0.7514  0.7500  4 Br 2.42-2.47
Pt  0.7514  0.2486  0.2500  4 Br 2.42-2.47
Br  0.0180  0.5214  0.7486  1 Pt 2.42
Br  0.1953  0.6970  0.5782  1 Pt 2.47
Br  0.3030  0.8047  0.9218  1 Pt 2.47
Br  0.4786  0.9820  0.7514  1 Pt 2.42
Br  0.5214  0.0180  0.2486  1 Pt 2.42
Br  0.6970  0.1953  0.0782  1 Pt 2.47
Br  0.8047  0.3030  0.4218  1 Pt 2.47
Br  0.9820  0.4786  0.2514  1 Pt 2.42